[1]
This record from Alexandria describes crystalline Y5ErTe6 at its relaxed geometry. The functional is GGA-PBE.

abc: 7.5400 13.1083 7.5385
angles: 90.00 109.58 90.00
Space group C2/m (No. 12)
Unique sites:
1 Y 0.0000 0.0000 0.0000 [2 per cell]
2 Y 0.0000 0.1678 0.5000 [4 per cell]
3 Y 0.0000 0.3295 0.0000 [4 per cell]
4 Er 0.0000 0.5000 0.5000 [2 per cell]
5 Te 0.2467 0.5000 0.2498 [4 per cell]
6 Te 0.2477 0.3354 0.7479 [8 per cell]

Results
formation energy (no corrections) = -1294.5 meV/atom
D(E_F) = 5.98 states/eV/f.u.
final energy = -5.939 eV per atom

***

[2]
This record from Alexandria describes crystalline NpTeRh2 at its relaxed geometry. The functional is GGA-PBE.

abc: 4.6729 4.6729 12.2365
angles: 90.00 90.00 120.00
Space group R-3m (No. 166, hexagonal axes)
Unique sites:
1 Np 0.0000 0.0000 0.0000 [3 per cell]
2 Te 0.0000 0.0000 0.5000 [3 per cell]
3 Rh 0.0000 0.0000 0.2639 [6 per cell]

Results
formation energy (no corrections) = -267.5 meV/atom
D(E_F) = 6.05 states/eV/f.u.
final energy = -7.964 eV per atom

***

[3]
This record from Alexandria describes crystalline TaCrCu2 at its relaxed geometry. The functional is GGA-PBE.

abc: 2.6652 3.9240 5.2034
angles: 90.00 90.00 90.00
Space group Pmmm (No. 47)
Unique sites:
1 Ta 0.0000 0.0000 0.0000 [1 per cell]
2 Cr 0.0000 0.0000 0.5000 [1 per cell]
3 Cu 0.5000 0.5000 0.2624 [2 per cell]

Results
D(E_F) = 2.72 states/eV/f.u.
final energy = -7.166 eV per atom
formation enthalpy at 0 K = 24.3 kJ per mole of atoms
distance to the lowest polymorph of the same formula = 64 meV/atom

***

[4]
This record from Alexandria describes crystalline Nd6Sm7Tm16 at its relaxed geometry. The functional is GGA-PBE.

abc: 15.7987 15.7987 15.7987
angles: 90.00 90.00 90.00
Space group Fm-3m (No. 225)
Unique sites:
1 Nd 0.0000 0.0000 0.2349 [24 per cell]
2 Sm 0.0000 0.0000 0.5000 [4 per cell]
3 Sm 0.0000 0.2500 0.2500 [24 per cell]
4 Tm 0.1293 0.1293 0.3707 [32 per cell]
5 Tm 0.1503 0.1503 0.1503 [32 per cell]

Results
D(E_F) = 48.28 states/eV/f.u.
final energy = -4.356 eV per atom
formation enthalpy at 0 K = 22.8 kJ per mole of atoms

***

[5]
This record from Alexandria describes crystalline KZnCd at its relaxed geometry. The functional is GGA-PBE.

abc: 9.6651 8.4394 5.0176
angles: 90.00 121.06 90.00
Space group Cm (No. 8)
Unique sites:
1 K 0.0000 0.0000 0.0000 [2 per cell]
2 K 0.1363 0.5000 0.1352 [2 per cell]
3 Zn 0.4019 0.1619 0.4006 [4 per cell]
4 Cd 0.2259 0.1849 0.7256 [4 per cell]

Results
D(E_F) = 1.38 states/eV/f.u.
final energy = -1.092 eV per atom
formation enthalpy at 0 K = 0.4 kJ per mole of atoms
distance to the lowest polymorph of the same formula = 24 meV/atom

***

[6]
This record from Alexandria describes crystalline TeAs3N at its relaxed geometry. The functional is GGA-PBE.

abc: 4.4944 4.4944 4.4944
angles: 90.00 90.00 90.00
Space group Pm-3m (No. 221)
Unique sites:
1 Te 0.0000 0.0000 0.0000 [1 per cell]
2 As 0.0000 0.5000 0.5000 [3 per cell]
3 N 0.5000 0.5000 0.5000 [1 per cell]

Results
formation energy (no corrections) = 760.9 meV/atom
D(E_F) = 3.37 states/eV/f.u.
final energy = -4.322 eV per atom
distance to the lowest polymorph of the same formula = 0 meV/atom